DFT (PBE) results for an optimized crystal structure of Pm2Er15Tm2.

Cell and atoms, written as extended XYZ:
```
19
Lattice="5.535 3.195 5.827 -5.535 3.195 5.827 0.000 -6.391 5.827" Properties=species:S:1:pos:R:3 pbc="T T T"
Pm 0.000 0.000 1.994
Pm 0.000 0.000 15.487
Er -5.535 0.000 8.740
Er -1.681 -3.480 5.827
Er -2.767 1.598 2.913
Er -3.854 0.285 5.827
Er -2.650 -1.530 8.231
Er 1.681 -3.480 5.827
Er -2.174 3.195 5.827
Er 0.000 -3.060 9.250
Er -2.650 1.530 9.250
Er 2.767 1.598 2.913
Er 2.650 -1.530 8.231
Er 0.000 3.060 8.231
Er 3.854 0.285 5.827
Er 2.174 3.195 5.827
Er 2.650 1.530 9.250
Tm 0.000 0.000 5.690
Tm 0.000 0.000 11.790
```

Properties
The space group is R-3m. The calculation puts the formation energy at 0.3032 eV/atom.